Here is crystalline GdHoGePd at its relaxed geometry from the Alexandria database. Energies are from PBE.

The structure in extended XYZ format:
```
4
Lattice="-0.8508 -4.5674 -1.9062 2.4443 -3.9832 1.8381 -2.4705 -3.4314 2.7095" Properties=species:S:1:pos:R:3 pbc="T T T"
Ho 0.0000 0.0000 0.0000
Ge -0.2193 -2.9955 0.6603
Pd -0.6578 -8.9865 1.9810
Gd -0.4385 -5.9910 1.3207
```

Summary:
SG   F-43m (216)
Volume   89.6 Å³ per cell
DOS(E_F)   2.3 states/eV per cell
Energy of formation   -0.802 eV/atom
Size of the total moment   7.19 μB/f.u.